This record from Alexandria via LeMat-Bulk describes a relaxed Cu2IrI8 crystal. The functional is PBE-GGA.

D(E_F) in states/eV/atom: 0.891
ΔE_f (raw) in meV/atom: -32
Uncorrected energy in eV/cell: -29.8

Cell lengths 8.8450, 8.8450, 6.6522 Å; angles 101.80, 101.80, 54.08 degrees
Closest atoms and distances in Å follow each position.
Element x y z (fractional)
Cu1 0.1596 0.1596 0.1590  4 I 2.51-2.62
Cu2 0.8404 0.8404 0.8410  4 I 2.51-2.62
Ir1 0.0000 0.0000 0.5000  6 I 2.68-2.71
I1 0.1575 0.1575 0.7717  1 Cu 2.57, 1 Ir 2.71
I2 0.1637 0.7065 0.7174  1 Cu 2.62, 1 Ir 2.68
I3 0.2935 0.8363 0.2826  1 Cu 2.62, 1 Ir 2.68
I4 0.3228 0.3228 0.2765  1 Cu 2.51
I5 0.6772 0.6772 0.7235  1 Cu 2.51
I6 0.7065 0.1637 0.7174  1 Cu 2.62, 1 Ir 2.68
I7 0.8363 0.2935 0.2826  1 Cu 2.62, 1 Ir 2.68
I8 0.8425 0.8425 0.2283  1 Cu 2.57, 1 Ir 2.71